Entry 1:
{"formula": "AlFeTe2", "functional": "PBE-GGA", "state": "optimized geometry", "cell": [[3.7083, 0.0000, 0.0000], [0.0000, 3.9683, -1.1017], [0.0000, -1.9073, 7.2608]], "species": ["Te", "Te", "Fe", "Al"], "frac_coords": [[0.0000, 0.8033, 0.5113], [0.0000, 0.6967, 0.9887], [0.5000, 0.7500, 0.7500], [0.5000, 0.2500, 0.2500]], "formation_energy_uncorrected_ev_per_atom": 0.281, "sg": "P2/m", "e_tot_ev_per_atom": -4.34}



Entry 2:
{"formula": "BaSrInGe", "functional": "PBE-GGA", "state": "optimized geometry", "cell": [[-4.5810, 0.1556, -3.4970], [0.2649, -2.4571, -5.2088], [-2.9764, -4.8208, -1.0680]], "species": ["Sr", "In", "Ge", "Ba"], "frac_coords": [[0.5000, 0.5000, 0.5000], [0.7500, 0.7500, 0.7500], [0.2500, 0.2500, 0.2500], [0.0000, 0.0000, 0.0000]], "sg": "F-43m", "e_tot_ev_per_atom": -3.11, "delta_e_f_ev_per_atom": -0.3686}



Entry 3:
{"formula": "Ac3Ni2Pb7", "functional": "PBE-GGA", "state": "optimized geometry", "cell": [[-1.6763, -4.3748, 1.4230], [3.8590, -2.1749, -2.1404], [5.5835, 2.2246, 13.4162]], "species": ["Pb", "Pb", "Pb", "Pb", "Pb", "Pb", "Pb", "Ac", "Ac", "Ac", "Ni", "Ni"], "frac_coords": [[0.0000, 0.5899, 0.1799], [0.0000, 0.4101, 0.8201], [0.5000, 0.9105, 0.8196], [0.5000, 0.7174, 0.4342], [0.5000, 0.0895, 0.1804], [0.5000, 0.2826, 0.5658], [0.0000, 0.0000, 0.0000], [0.0000, 0.8144, 0.6297], [0.0000, 0.1856, 0.3703], [0.5000, 0.5000, 0.0000], [0.5000, 0.6257, 0.2540], [0.5000, 0.3743, 0.7460]], "sg": "P2/m", "e_tot_ev_per_atom": -4.50, "delta_e_f_ev_per_atom": -0.3488}



Size of the total moment for every record listed, in sequence, given in μB/atom: 0.720 0.000 0.000.
N(E_F) for every record listed, in sequence, given in states/eV/cell: 4.17 3.68 7.47.